[1]
This record from the Alexandria database describes HoAlZn2 after structural relaxation. The functional is GGA-PBE.

a = 3.363 Å, b = 5.288 Å, c = 5.288 Å
α = 119.99°, β = 90.00°, γ = 90.00°
Element x y z (fractional)
Al (0.500, 0.445, 0.555)
Ho (0.000, 0.945, 0.055)
Zn (0.500, 0.445, 0.055)
Zn (0.500, 0.945, 0.555)

space group = Cmmm
final energy = -2.91 eV per atom
magnetization = 0.0 μB per formula unit

[2]
This record from the Alexandria database describes Li3HgF6 after structural relaxation. The functional is GGA-PBE.

a = 6.254 Å, b = 6.254 Å, c = 6.254 Å
α = 91.55°, β = 91.55°, γ = 91.55°
Element x y z (fractional)
Hg (0.500, 0.500, 0.500)
Hg (0.000, 0.000, 0.000)
F (0.525, 0.377, 0.170)
F (0.098, 0.325, 0.889)
F (0.111, 0.902, 0.675)
F (0.675, 0.111, 0.902)
F (0.475, 0.623, 0.830)
F (0.902, 0.675, 0.111)
F (0.830, 0.475, 0.623)
F (0.170, 0.525, 0.377)
F (0.623, 0.830, 0.475)
F (0.889, 0.098, 0.325)
F (0.377, 0.170, 0.525)
F (0.325, 0.889, 0.098)
Li (0.256, 0.551, 0.059)
Li (0.059, 0.256, 0.551)
Li (0.551, 0.059, 0.256)
Li (0.449, 0.941, 0.744)
Li (0.744, 0.449, 0.941)
Li (0.941, 0.744, 0.449)

space group = R-3
energy relative to the elements, uncorrected = -2.162 eV/atom
final energy = -3.89 eV per atom
magnetization = 1.1 μB per formula unit

[3]
This record from the Alexandria database describes CsSr2Pb2 after structural relaxation. The functional is GGA-PBE.

a = 10.056 Å, b = 10.056 Å, c = 4.217 Å
α = 90.00°, β = 90.00°, γ = 90.00°
Element x y z (fractional)
Sr (0.839, 0.339, 0.500)
Sr (0.161, 0.661, 0.500)
Sr (0.661, 0.839, 0.500)
Sr (0.339, 0.161, 0.500)
Pb (0.879, 0.621, 0.000)
Pb (0.379, 0.879, 0.000)
Pb (0.121, 0.379, 0.000)
Pb (0.621, 0.121, 0.000)
Cs (0.500, 0.500, 0.000)
Cs (0.000, 0.000, 0.000)

space group = P4/mbm
final energy = -2.63 eV per atom
magnetization = 0.0 μB per formula unit

[4]
This record from the Alexandria database describes LiTbTl4 after structural relaxation. The functional is GGA-PBE.

a = 3.685 Å, b = 6.545 Å, c = 8.080 Å
α = 112.60°, β = 76.82°, γ = 73.65°
Element x y z (fractional)
Tl (0.809, 0.532, 0.849)
Tl (0.340, 0.995, 0.324)
Tl (0.191, 0.468, 0.151)
Tl (0.660, 0.005, 0.676)
Li (0.000, 0.000, 0.000)
Tb (0.500, 0.500, 0.500)

space group = C2/m
final energy = -2.79 eV per atom
magnetization = 0.0 μB per formula unit

[5]
This record from the Alexandria database describes Fe2HgCl after structural relaxation. The functional is GGA-PBE.

a = 5.024 Å, b = 5.024 Å, c = 7.559 Å
α = 52.51°, β = 52.51°, γ = 35.07°
Element x y z (fractional)
Cl (0.750, 0.750, 0.750)
Fe (0.054, 0.054, 0.097)
Fe (0.446, 0.446, 0.403)
Hg (0.250, 0.250, 0.250)

space group = C2/m
energy relative to the elements, uncorrected = 0.155 eV/atom
final energy = -4.61 eV per atom
magnetization = 5.8 μB per formula unit

[6]
This record from the Alexandria database describes NiAs2W after structural relaxation. The functional is GGA-PBE.

a = 4.393 Å, b = 4.393 Å, c = 4.393 Å
α = 60.00°, β = 60.00°, γ = 60.00°
Element x y z (fractional)
W (0.500, 0.500, 0.500)
As (0.250, 0.250, 0.250)
As (0.750, 0.750, 0.750)
Ni (0.000, 0.000, 0.000)

space group = Fm-3m
final energy = -6.70 eV per atom
magnetization = 0.4 μB per formula unit

[7]
This record from the Alexandria database describes Nd5YSc3 after structural relaxation. The functional is GGA-PBE.

a = 8.083 Å, b = 8.083 Å, c = 12.897 Å
α = 62.71°, β = 62.71°, γ = 90.16°
Element x y z (fractional)
Y (0.001, 0.001, 0.747)
Y (0.999, 0.999, 0.253)
Nd (0.056, 0.571, 0.653)
Nd (0.429, 0.944, 0.347)
Nd (0.746, 0.254, 0.000)
Nd (0.571, 0.056, 0.653)
Nd (0.254, 0.746, 0.000)
Nd (0.666, 0.666, 0.085)
Nd (0.334, 0.334, 0.915)
Nd (0.342, 0.342, 0.419)
Nd (0.944, 0.429, 0.347)
Nd (0.658, 0.658, 0.581)
Sc (0.000, 0.000, 0.000)
Sc (0.329, 0.329, 0.673)
Sc (0.671, 0.671, 0.327)
Sc (0.664, 0.664, 0.834)
Sc (0.000, 0.000, 0.500)
Sc (0.336, 0.336, 0.166)

space group = C2/m
final energy = -5.01 eV per atom
magnetization = 0.0 μB per formula unit

[8]
This record from the Alexandria database describes RbLaRh2Pb after structural relaxation. The functional is GGA-PBE.

a = 5.000 Å, b = 5.788 Å, c = 5.000 Å
α = 90.00°, β = 90.00°, γ = 90.00°
Element x y z (fractional)
La (0.500, 0.500, 0.500)
Rh (0.500, 0.000, 0.000)
Rh (0.000, 0.000, 0.500)
Rb (0.000, 0.000, 0.000)
Pb (0.000, 0.500, 0.000)

space group = P4/mmm
final energy = -3.63 eV per atom
magnetization = 0.0 μB per formula unit

[9]
This record from the Alexandria database describes Ac6Ge2I3Cl after structural relaxation. The functional is GGA-PBE.

a = 7.652 Å, b = 7.652 Å, c = 8.907 Å
α = 98.25°, β = 98.25°, γ = 120.07°
Element x y z (fractional)
I (0.828, 0.172, 0.500)
I (0.172, 0.828, 0.500)
I (0.500, 0.500, 0.500)
Ac (0.735, 0.735, 0.206)
Ac (0.402, 0.067, 0.203)
Ac (0.067, 0.402, 0.203)
Ac (0.265, 0.265, 0.794)
Ac (0.598, 0.933, 0.797)
Ac (0.933, 0.598, 0.797)
Ge (0.666, 0.334, 0.000)
Ge (0.334, 0.666, 0.000)
Cl (0.000, 0.000, 0.000)

space group = C2/m
energy relative to the elements, uncorrected = -1.058 eV/atom
final energy = -4.42 eV per atom
magnetization = 0.0 μB per formula unit

[10]
This record from the Alexandria database describes Hf2NiHRu after structural relaxation. The functional is GGA-PBE.

a = 4.567 Å, b = 4.567 Å, c = 3.300 Å
α = 90.00°, β = 90.00°, γ = 90.00°
Element x y z (fractional)
Ni (0.000, 0.000, 0.500)
Hf (0.000, 0.500, 0.000)
Hf (0.500, 0.000, 0.000)
H (0.000, 0.000, 0.000)
Ru (0.500, 0.500, 0.500)

space group = P4/mmm
final energy = -8.17 eV per atom
magnetization = 0.0 μB per formula unit

[11]
This record from the Alexandria database describes TmAl2GaRh4 after structural relaxation. The functional is GGA-PBE.

a = 4.384 Å, b = 4.384 Å, c = 7.673 Å
α = 73.40°, β = 73.40°, γ = 60.00°
Element x y z (fractional)
Rh (0.871, 0.871, 0.387)
Rh (0.383, 0.383, 0.850)
Rh (0.617, 0.617, 0.150)
Rh (0.129, 0.129, 0.613)
Al (0.753, 0.753, 0.742)
Al (0.247, 0.247, 0.258)
Tm (0.000, 0.000, 0.000)
Ga (0.500, 0.500, 0.500)

space group = R-3m
final energy = -6.48 eV per atom
magnetization = 0.0 μB per formula unit